Entry 1:
First-principles (SCAN) data for a crystal of Rb4P2PbSe8 relaxed with PBEsol, as listed in the Alexandria database.

Properties
V (A^3/atom): 30.4
Total moment (μB per cell): 0.0
Symmetry: Ibam, No. 72
Formation energy without anion corrections (meV/atom): -859
Density of states at the Fermi level (states/eV/f.u.): 0.00

The structure in POSCAR format:
```
Rb4P2PbSe8
1.0
-4.646 9.411 5.208
4.646 -9.411 5.208
4.646 9.411 -5.208
Rb P Pb Se
8 4 2 16
Direct
0.016 0.250 0.766
0.088 0.613 0.700
0.412 0.113 0.525
0.484 0.250 0.234
0.516 0.750 0.766
0.588 0.887 0.475
0.912 0.387 0.300
0.984 0.750 0.234
0.125 0.202 0.328
0.375 0.702 0.077
0.625 0.298 0.923
0.875 0.798 0.672
0.250 0.250 0.000
0.750 0.750 0.000
0.101 0.883 0.636
0.104 0.967 0.071
0.239 0.262 0.501
0.246 0.465 0.364
0.254 0.617 0.218
0.261 0.762 0.023
0.396 0.467 0.862
0.399 0.035 0.782
0.601 0.965 0.218
0.604 0.533 0.138
0.739 0.238 0.977
0.746 0.383 0.782
0.754 0.535 0.636
0.761 0.738 0.499
0.896 0.033 0.929
0.899 0.117 0.364
```

Entry 2:
First-principles (SCAN) data for a crystal of KOsIN2 relaxed with PBEsol, as listed in the Alexandria database.

Properties
V (A^3/atom): 27.0
Total moment (μB per cell): 8.6
Symmetry: P4/mmm, No. 123
Formation energy without anion corrections (meV/atom): 2848
Density of states at the Fermi level (states/eV/f.u.): 2.21

The structure in POSCAR format:
```
KOsIN2
1.0
4.578 0.000 0.000
0.000 4.578 0.000
0.000 0.000 6.433
K Os I N
1 1 1 2
Direct
0.000 0.000 0.000
0.500 0.500 0.500
0.000 0.000 0.500
0.000 0.500 0.000
0.500 0.000 0.000
```

Entry 3:
First-principles (SCAN) data for a crystal of TaW2Cl relaxed with PBEsol, as listed in the Alexandria database.

Properties
E above lowest polymorph (meV per atom): 289.1
V (A^3/atom): 15.5
Total moment (μB per cell): 0.0
Symmetry: Immm, No. 71
Formation energy without anion corrections (meV/atom): 755
Density of states at the Fermi level (states/eV/f.u.): 2.79

The structure in POSCAR format:
```
TaW2Cl
1.0
-1.454 2.257 4.715
1.454 -2.257 4.715
1.454 2.257 -4.715
Ta W Cl
1 2 1
Direct
0.000 0.000 0.000
0.275 0.775 0.500
0.725 0.225 0.500
0.500 0.500 0.000
```

Entry 4:
First-principles (SCAN) data for a crystal of CuHg4 relaxed with PBEsol, as listed in the Alexandria database.

Properties
V (A^3/atom): 21.2
Total moment (μB per cell): 0.0
Symmetry: P-3m1, No. 164
Energy of formation from the pure elements (eV per atom): 0.13
Density of states at the Fermi level (states/eV/f.u.): 1.55

The structure in POSCAR format:
```
CuHg4
1.0
3.156 0.000 0.000
-1.578 2.733 0.000
0.000 0.000 12.277
Cu Hg
1 4
Direct
0.000 0.000 0.000
0.333 0.667 0.606
0.333 0.667 0.839
0.667 0.333 0.161
0.667 0.333 0.394
```

Entry 5:
First-principles (SCAN) data for a crystal of TcSnRuRh2 relaxed with PBEsol, as listed in the Alexandria database.

Properties
V (A^3/atom): 20.7
Total moment (μB per cell): 5.0
Symmetry: P4/mmm, No. 123
Energy of formation from the pure elements (eV per atom): 1.77
Density of states at the Fermi level (states/eV/f.u.): 3.35

The structure in POSCAR format:
```
TcSnRuRh2
1.0
4.673 0.000 0.000
0.000 4.673 0.000
0.000 0.000 4.731
Tc Sn Ru Rh
1 1 1 2
Direct
0.000 0.000 0.000
0.500 0.500 0.500
0.500 0.500 0.000
0.000 0.500 0.500
0.500 0.000 0.500
```

Entry 6:
First-principles (SCAN) data for a crystal of SrBeSb3 relaxed with PBEsol, as listed in the Alexandria database.

Properties
V (A^3/atom): 26.0
Total moment (μB per cell): 0.0
Symmetry: Pm-3m, No. 221
Formation energy without anion corrections (meV/atom): -83
Density of states at the Fermi level (states/eV/f.u.): 2.99

The structure in POSCAR format:
```
SrBeSb3
1.0
5.066 0.000 0.000
0.000 5.066 0.000
0.000 0.000 5.066
Sr Be Sb
1 1 3
Direct
0.000 0.000 0.000
0.500 0.500 0.500
0.000 0.500 0.500
0.500 0.000 0.500
0.500 0.500 0.000
```

Entry 7:
First-principles (SCAN) data for a crystal of Na2Ta4O11 relaxed with PBEsol, as listed in the Alexandria database.

Properties
V (A^3/atom): 12.0
Total moment (μB per cell): 0.0
Symmetry: R-3c, No. 167
Formation energy without anion corrections (meV/atom): -2955
Density of states at the Fermi level (states/eV/f.u.): 0.00

The structure in POSCAR format:
```
Na2Ta4O11
1.0
3.102 1.791 12.262
-3.102 1.791 12.262
0.000 -3.582 12.262
Na Ta O
4 8 22
Direct
0.166 0.166 0.166
0.334 0.334 0.334
0.666 0.666 0.666
0.834 0.834 0.834
0.000 0.000 0.000
0.115 0.750 0.385
0.250 0.615 0.885
0.385 0.115 0.750
0.500 0.500 0.500
0.615 0.885 0.250
0.750 0.385 0.115
0.885 0.250 0.615
0.000 0.500 0.250
0.000 0.500 0.750
0.061 0.754 0.277
0.094 0.094 0.094
0.223 0.746 0.439
0.246 0.723 0.939
0.250 0.000 0.500
0.254 0.561 0.777
0.277 0.061 0.754
0.406 0.406 0.406
0.439 0.223 0.746
0.500 0.250 0.000
0.500 0.750 0.000
0.561 0.777 0.254
0.594 0.594 0.594
0.723 0.939 0.246
0.746 0.439 0.223
0.750 0.000 0.500
0.754 0.277 0.061
0.777 0.254 0.561
0.906 0.906 0.906
0.939 0.246 0.723
```

Entry 8:
First-principles (SCAN) data for a crystal of Ta14Rh relaxed with PBEsol, as listed in the Alexandria database.

Properties
V (A^3/atom): 17.7
Total moment (μB per cell): 0.0
Symmetry: P4_2/mnm, No. 136
Energy of formation from the pure elements (eV per atom): -0.09
Density of states at the Fermi level (states/eV/f.u.): 15.16

The structure in POSCAR format:
```
Ta14Rh
1.0
10.027 0.000 0.000
0.000 10.027 0.000
0.000 0.000 5.276
Ta Rh
28 2
Direct
0.036 0.370 0.000
0.066 0.257 0.500
0.102 0.102 0.000
0.130 0.536 0.500
0.183 0.817 0.247
0.183 0.817 0.753
0.243 0.566 0.000
0.257 0.066 0.500
0.317 0.317 0.253
0.317 0.317 0.747
0.370 0.036 0.000
0.398 0.602 0.500
0.434 0.757 0.000
0.464 0.870 0.500
0.536 0.130 0.500
0.566 0.243 0.000
0.602 0.398 0.500
0.630 0.964 0.000
0.683 0.683 0.253
0.683 0.683 0.747
0.743 0.934 0.500
0.757 0.434 0.000
0.817 0.183 0.247
0.817 0.183 0.753
0.870 0.464 0.500
0.898 0.898 0.000
0.934 0.743 0.500
0.964 0.630 0.000
0.000 0.000 0.500
0.500 0.500 0.000
```

Entry 9:
First-principles (SCAN) data for a crystal of CeIn5Ir relaxed with PBEsol, as listed in the Alexandria database.

Properties
V (A^3/atom): 22.7
Total moment (μB per cell): 1.0
Symmetry: P4/mmm, No. 123
Energy of formation from the pure elements (eV per atom): -0.50
Density of states at the Fermi level (states/eV/f.u.): 4.05

The structure in POSCAR format:
```
CeIn5Ir
1.0
4.640 0.000 0.000
0.000 4.640 0.000
0.000 0.000 7.383
Ce In Ir
1 5 1
Direct
0.000 0.000 0.000
0.000 0.500 0.301
0.000 0.500 0.699
0.500 0.000 0.301
0.500 0.000 0.699
0.500 0.500 0.000
0.000 0.000 0.500
```

Entry 10:
First-principles (SCAN) data for a crystal of SbAsIr2 relaxed with PBEsol, as listed in the Alexandria database.

Properties
E above lowest polymorph (meV per atom): 0.0
V (A^3/atom): 16.5
Total moment (μB per cell): 0.0
Symmetry: P4/mmm, No. 123
Formation energy without anion corrections (meV/atom): 348
Density of states at the Fermi level (states/eV/f.u.): 3.14

The structure in POSCAR format:
```
SbAsIr2
1.0
3.089 0.000 0.000
0.000 3.089 0.000
0.000 0.000 6.918
Sb As Ir
1 1 2
Direct
0.000 0.000 0.000
0.000 0.000 0.500
0.500 0.500 0.288
0.500 0.500 0.712
```

Entry 11:
First-principles (SCAN) data for a crystal of SrLaZr2Mo relaxed with PBEsol, as listed in the Alexandria database.

Properties
V (A^3/atom): 29.5
Total moment (μB per cell): 0.0
Symmetry: P4/mmm, No. 123
Energy of formation from the pure elements (eV per atom): 0.47
Density of states at the Fermi level (states/eV/f.u.): 7.31

The structure in POSCAR format:
```
SrLaZr2Mo
1.0
5.235 0.000 0.000
0.000 5.235 0.000
0.000 0.000 5.386
Sr La Zr Mo
1 1 2 1
Direct
0.000 0.000 0.000
0.500 0.500 0.000
0.000 0.500 0.500
0.500 0.000 0.500
0.500 0.500 0.500
```

Entry 12:
First-principles (SCAN) data for a crystal of CdHgF2 relaxed with PBEsol, as listed in the Alexandria database.

Properties
V (A^3/atom): 21.7
Total moment (μB per cell): 0.0
Symmetry: R-3m, No. 166
Formation energy without anion corrections (meV/atom): -1659
Density of states at the Fermi level (states/eV/f.u.): 0.35

The structure in POSCAR format:
```
CdHgF2
1.0
1.729 0.998 8.371
-1.729 0.998 8.371
0.000 -1.996 8.371
Cd Hg F
1 1 2
Direct
0.000 0.000 0.000
0.500 0.500 0.500
0.374 0.374 0.374
0.626 0.626 0.626
```